Computed, not measured: a relaxed structure of Nd2AlPd6 at the GGA-PBE level of DFT.

a = 3.7868 Å, b = 7.2577 Å, c = 7.6758 Å
α = 118.21°, β = 90.00°, γ = 90.00°
Element x y z (fractional)
Pd: 0.0000 0.6506 0.6904
Pd: 0.5000 0.2325 0.0001
Pd: 0.0000 0.9599 0.3095
Pd: 0.0000 0.0401 0.6905
Pd: 0.5000 0.7675 0.9999
Pd: 0.0000 0.3494 0.3096
Nd: 0.5000 0.3185 0.6370
Nd: 0.5000 0.6815 0.3630
Al: 0.0000 0.0000 0.0000

Output
- Space group: Cmmm (65)
- Calculated density: 8.5 g/cm³
- Energy relative to the elements: -0.6119 eV per atom
- Excess energy over the best structure of this formula in the dataset: 2.065 eV/f.u.